1.
Tm2NbB2Ru5 | GGA-PBE | optimized geometry

Results
E = -168.082 eV for the cell shown

a = 3.1211 Å, b = 9.6330 Å, c = 9.6330 Å
α = 90.00°, β = 90.00°, γ = 90.00°
Closest atoms and distances in Å follow each position.
Positions (direct):
Tm  0.0000  0.6750  0.1750  3 B 2.79-2.89, 10 Ru 2.85-3.02
Tm  0.0000  0.3250  0.8250  3 B 2.79-2.89, 10 Ru 2.85-3.02
Tm  0.0000  0.1750  0.3250  3 B 2.79-2.89, 10 Ru 2.85-3.02
Tm  0.0000  0.8250  0.6750  3 B 2.79-2.89, 10 Ru 2.85-3.02
Nb  0.0000  0.0000  0.0000  8 Ru 2.70
Nb  0.0000  0.5000  0.5000  8 Ru 2.70
B  0.0000  0.1206  0.6206  6 Ru 2.25-2.27
B  0.0000  0.8794  0.3794  6 Ru 2.25-2.27
B  0.0000  0.6206  0.8794  6 Ru 2.25-2.27
B  0.0000  0.3794  0.1206  6 Ru 2.25-2.27
Ru  0.5000  0.2179  0.0714  2 B 2.25
Ru  0.5000  0.7821  0.9286  2 B 2.25
Ru  0.5000  0.0714  0.7821  2 B 2.25
Ru  0.5000  0.7179  0.4286  2 B 2.25
Ru  0.5000  0.9286  0.2179  2 B 2.25
Ru  0.5000  0.2821  0.5714  2 B 2.25
Ru  0.5000  0.5714  0.7179  2 B 2.25
Ru  0.5000  0.4286  0.2821  2 B 2.25
Ru  0.5000  0.5000  0.0000  4 B 2.27
Ru  0.5000  0.0000  0.5000  4 B 2.27

2.
Na3BeTl3Cl8 | GGA-PBE | optimized geometry

Results
energy relative to the elements, uncorrected = -19.6 eV/f.u.
E = -49.185 eV for the cell shown

a = 8.1238 Å, b = 8.1270 Å, c = 8.7533 Å
α = 117.69°, β = 90.00°, γ = 119.99°
Closest atoms and distances in Å follow each position.
Positions (direct):
Na  0.5000  0.0000  0.5000  6 Cl 2.80-2.89
Na  0.5000  0.5000  0.5000  6 Cl 2.80-2.89
Na  0.0000  0.5000  0.5000  6 Cl 2.80-2.89
Be  0.0000  0.0000  0.5000  6 Cl 2.36
Tl  0.0000  0.0000  0.0000  6 Cl 3.19-3.21
Tl  0.0000  0.5000  0.0000  6 Cl 3.19-3.21
Tl  0.5000  0.5000  0.0000  6 Cl 3.19-3.21
Cl  0.2642  0.5283  0.2928  3 Na 2.80
Cl  0.7358  0.4717  0.7072  3 Na 2.80
Cl  0.8012  0.6025  0.3195  1 Be 2.36
Cl  0.1988  0.3975  0.6805  1 Be 2.36
Cl  0.8015  0.0181  0.3198  1 Be 2.36
Cl  0.1985  0.9819  0.6802  1 Be 2.36
Cl  0.2166  0.0181  0.3198  1 Be 2.36
Cl  0.7834  0.9819  0.6802  1 Be 2.36

3.
FeReRh2 | GGA-PBE | optimized geometry

Results
distance to the lowest polymorph of the same formula = 2.34 eV per formula unit
E = -67.203 eV for the cell shown

a = 3.7046 Å, b = 3.7046 Å, c = 9.0692 Å
α = 78.21°, β = 78.21°, γ = 90.00°
Closest atoms and distances in Å follow each position.
Positions (direct):
Re  0.0000  0.0000  0.0000  4 Rh 2.55, 4 Fe 2.62
Re  0.7500  0.2500  0.5000  4 Rh 2.55, 4 Fe 2.62
Rh  0.6134  0.1250  0.2500  2 Fe 2.52, 2 Re 2.55, 4 Rh 2.56-2.68
Rh  0.1366  0.6250  0.2500  2 Fe 2.52, 2 Re 2.55, 4 Rh 2.56-2.68
Rh  0.3750  0.3866  0.7500  2 Fe 2.52, 2 Re 2.55, 4 Rh 2.56-2.68
Rh  0.8750  0.8634  0.7500  2 Fe 2.52, 2 Re 2.55, 4 Rh 2.56-2.68
Fe  0.5000  0.5000  0.0000  4 Rh 2.52, 4 Re 2.62
Fe  0.2500  0.7500  0.5000  4 Rh 2.52, 4 Re 2.62

4.
Ho4Tl3Zn | GGA-PBE | optimized geometry

Results
distance to the lowest polymorph of the same formula = 0.00 eV per formula unit
E = -29.415 eV for the cell shown

a = 3.6368 Å, b = 3.6368 Å, c = 15.6230 Å
α = 90.00°, β = 90.00°, γ = 90.00°
Closest atoms and distances in Å follow each position.
Positions (direct):
Zn  0.5000  0.5000  0.0000  8 Ho 3.08
Tl  0.5000  0.5000  0.2374  8 Ho 3.27-3.29, 4 Tl 3.64
Tl  0.5000  0.5000  0.5000  8 Ho 3.29, 4 Tl 3.64
Tl  0.5000  0.5000  0.7626  8 Ho 3.27-3.29, 4 Tl 3.64
Ho  0.0000  0.0000  0.8914  4 Zn 3.08, 4 Tl 3.27, 1 Ho 3.39
Ho  0.0000  0.0000  0.1086  4 Zn 3.08, 4 Tl 3.27, 1 Ho 3.39
Ho  0.0000  0.0000  0.3688  8 Tl 3.29, 4 Ho 3.64
Ho  0.0000  0.0000  0.6312  8 Tl 3.29, 4 Ho 3.64

5.
Be3P | GGA-PBE | optimized geometry

Results
distance to the lowest polymorph of the same formula = 0.76 eV per formula unit
E = -14.990 eV for the cell shown

a = 2.4052 Å, b = 2.4052 Å, c = 7.9263 Å
α = 90.00°, β = 90.00°, γ = 120.00°
Closest atoms and distances in Å follow each position.
Positions (direct):
P  0.6667  0.3333  0.7500  6 P 2.41, 6 Be 2.60
Be  0.0000  0.0000  0.0268  9 Be 2.25-2.41
Be  0.0000  0.0000  0.4732  9 Be 2.25-2.41
Be  0.6667  0.3333  0.2500  12 Be 2.25-2.41

6.
CaMnIn4S8 | GGA-PBE | optimized geometry

Results
energy relative to the elements, uncorrected = -10.3 eV/f.u.
E = -65.458 eV for the cell shown

a = 7.8440 Å, b = 7.8440 Å, c = 7.7664 Å
α = 59.67°, β = 59.67°, γ = 60.00°
Closest atoms and distances in Å follow each position.
Positions (direct):
Ca  0.3809  0.3809  0.8573  4 S 2.63-2.65
Mn  0.0043  0.0043  0.9871  6 S 2.52-2.66
In  0.6193  0.6193  0.1421  4 S 2.57-2.60
In  0.0033  0.4894  0.5039  6 S 2.59-2.73
In  0.4894  0.0033  0.5039  6 S 2.59-2.73
In  0.0033  0.0033  0.5039  6 S 2.59-2.73
S  0.2327  0.7910  0.7436  1 Mn 2.52, 2 In 2.59, 1 Ca 2.63
S  0.7910  0.2327  0.7436  1 Mn 2.52, 2 In 2.59, 1 Ca 2.63
S  0.2327  0.2327  0.7436  1 Mn 2.52, 2 In 2.59, 1 Ca 2.63
S  0.2406  0.2406  0.2781  3 In 2.62, 1 Ca 2.65
S  0.7637  0.2186  0.2541  3 In 2.57-2.71, 1 Mn 2.66
S  0.2186  0.7637  0.2541  3 In 2.57-2.71, 1 Mn 2.66
S  0.7637  0.7637  0.2541  3 In 2.57-2.71, 1 Mn 2.66
S  0.7565  0.7565  0.7305  4 In 2.60-2.73